# 1
The following is a DFT calculation (PBE) of crystalline KNa2BO3 at its relaxed geometry.

Lattice parameters (Å, degrees): 7.4519 7.4519 7.4519 44.78 44.78 44.78
Last column: nearest neighbours and their distance in Å.
Element x y z (fractional)
O 0.2799 0.2799 0.7075  1 B 1.40
O 0.7201 0.7201 0.2925  1 B 1.40
O 0.7075 0.2799 0.2799  1 B 1.40
O 0.2925 0.7201 0.7201  1 B 1.40
O 0.2799 0.7075 0.2799  1 B 1.40
O 0.7201 0.2925 0.7201  1 B 1.40
K 0.7055 0.7055 0.7055  1 B 2.64, 3 O 2.93
K 0.2945 0.2945 0.2945  1 B 2.64, 3 O 2.93
Na 0.0000 0.0000 0.0000  6 O 2.59
Na 0.5000 0.0000 0.0000  4 O 2.36
Na 0.0000 0.0000 0.5000  4 O 2.36
Na 0.0000 0.5000 0.0000  4 O 2.36
B 0.5740 0.5740 0.5740  3 O 1.40
B 0.4260 0.4260 0.4260  3 O 1.40

Results
Formation energy without anion corrections = -1.81 eV/atom
Total magnetic moment = 0.0 μB per formula unit
ΔE to the lowest computed polymorph = 0.163 eV/atom

# 2
The following is a DFT calculation (PBE) of crystalline La2MnSiAs at its relaxed geometry.

Lattice parameters (Å, degrees): 5.6618 4.6335 5.6618 90.00 90.00 90.00
Last column: nearest neighbours and their distance in Å.
Element x y z (fractional)
Si 0.0000 0.5000 0.0000  2 As 2.32
La 0.0000 0.0000 0.5000  2 As 2.83
La 0.5000 0.0000 0.0000  2 As 2.83
As 0.0000 0.0000 0.0000  2 Si 2.32
Mn 0.5000 0.5000 0.5000  8 La 3.66, 4 Si 4.00

Results
Formation energy without anion corrections = 0.60 eV/atom
Total magnetic moment = 0.4 μB per formula unit

# 3
The following is a DFT calculation (PBE) of crystalline CoP2WS at its relaxed geometry.

Lattice parameters (Å, degrees): 4.2293 4.2293 4.3459 90.00 90.00 90.00
Last column: nearest neighbours and their distance in Å.
Element x y z (fractional)
Co 0.0000 0.0000 0.0000  4 P 2.11, 2 S 2.17
P 0.5000 0.0000 0.0000  2 Co 2.11
P 0.0000 0.5000 0.0000  2 Co 2.11
S 0.0000 0.0000 0.5000  2 Co 2.17
W 0.5000 0.5000 0.5000  4 S 2.99, 8 P 3.03

Results
Formation energy without anion corrections = 0.97 eV/atom
Total magnetic moment = 0.0 μB per formula unit
ΔE to the lowest computed polymorph = 0.057 eV/atom